DFT (PBE) results for an optimized crystal structure of Rb2LiCo2. Values from VASP.

Computed properties:
As for the space group: P4/mbm, No. 127. The calculation puts the density of states at the Fermi level at 5.70 states/eV/f.u. Its formation energy is 1.311 eV per atom. The value obtained for the total energy is -2.30 eV per atom. As for the total magnetization: 3.4 μB/f.u.

Cell and atoms, written as Quantum ESPRESSO input:
```
&SYSTEM
  ibrav = 0, nat = 10, ntyp = 3
/
ATOMIC_SPECIES
Rb 85.47 Rb.upf
Li 6.94 Li.upf
Co 58.93 Co.upf
ATOMIC_POSITIONS crystal
Rb 0.134 0.366 0.000
Rb 0.366 0.866 0.000
Rb 0.634 0.134 0.000
Rb 0.866 0.634 0.000
Li 0.000 0.000 0.000
Li 0.500 0.500 0.000
Co 0.168 0.668 0.500
Co 0.332 0.168 0.500
Co 0.668 0.832 0.500
Co 0.832 0.332 0.500
CELL_PARAMETERS angstrom
10.220 0.000 0.000
0.000 10.220 0.000
0.000 0.000 3.040
```